## TlTeO2 (PBE-GGA)

Data for a relaxed TlTeO2 crystal.

Unit cell a=6.3442 b=6.5196 c=6.5364 alpha=107.83 beta=90.89 gamma=117.79
With the nearest neighbours (Å) after each atom.
Element x y z (fractional)
Tl: 0.0000 0.0000 0.0000  2 O 2.63-2.80
Tl: 0.0393 0.5825 0.2538  3 O 2.48-2.66
Te: 0.4148 0.3240 0.5525  3 O 1.88-1.94
Te: 0.7541 0.8993 0.4925  2 O 1.97-2.14
O: 0.0987 0.2263 0.6351  2 Te 1.94-2.14
O: 0.3454 0.0439 0.3080  1 Te 1.88
O: 0.3966 0.5289 0.4030  1 Te 1.92
O: 0.8814 0.7122 0.5861  1 Te 1.97

Summary:
V: 223.63 Å³ per cell
space group: P1, No. 1
relative energy among the computed polymorphs: 0 meV per atom
energy relative to the elements, uncorrected: -3.1 eV/f.u.

## HgMo2Pb (PBE-GGA)

Data for a relaxed HgMo2Pb crystal.

Unit cell a=4.8073 b=4.8073 c=4.8073 alpha=60.00 beta=60.00 gamma=60.00
With the nearest neighbours (Å) after each atom.
Element x y z (fractional)
Hg: 0.0000 0.0000 0.0000  4 Mo 2.94, 4 Pb 2.94
Mo: 0.5000 0.5000 0.5000  4 Pb 2.94, 4 Mo 2.94
Mo: 0.7500 0.7500 0.7500  4 Mo 2.94, 4 Hg 2.94
Pb: 0.2500 0.2500 0.2500  4 Hg 2.94, 4 Mo 2.94

Summary:
V: 78.56 Å³ per cell
space group: F-43m, No. 216
DOS(E_F): 3.00 states/eV/f.u.
relative energy among the computed polymorphs: 539 meV per atom
ΔE_f: 935 meV per atom

## Dy4YTm3 (PBE-GGA)

Data for a relaxed Dy4YTm3 crystal.

Unit cell a=11.1646 b=7.2174 c=6.2425 alpha=90.00 beta=90.00 gamma=90.00
With the nearest neighbours (Å) after each atom.
Element x y z (fractional)
Dy: 0.0000 0.1260 0.0000  6 Dy 3.48-3.63, 4 Tm 3.48-3.62, 2 Y 3.60-3.61
Dy: 0.0000 0.8741 0.4972  6 Dy 3.47-3.63, 4 Tm 3.48-3.62, 2 Y 3.60-3.62
Dy: 0.2484 0.8745 0.8313  6 Dy 3.47-3.61, 5 Tm 3.47-3.62, 1 Y 3.50
Dy: 0.2516 0.1255 0.3313  6 Dy 3.47-3.61, 5 Tm 3.47-3.62, 1 Y 3.50
Dy: 0.5000 0.1259 0.9972  6 Dy 3.47-3.63, 4 Tm 3.48-3.62, 2 Y 3.60-3.62
Dy: 0.5000 0.8740 0.5000  6 Dy 3.48-3.63, 4 Tm 3.48-3.62, 2 Y 3.60-3.61
Dy: 0.7484 0.1255 0.3313  6 Dy 3.47-3.61, 5 Tm 3.47-3.62, 1 Y 3.50
Dy: 0.7516 0.8745 0.8313  6 Dy 3.47-3.61, 5 Tm 3.47-3.62, 1 Y 3.50
Y: 0.0000 0.3756 0.4995  6 Tm 3.48-3.60, 6 Dy 3.50-3.62
Y: 0.5000 0.6244 0.9995  6 Tm 3.48-3.60, 6 Dy 3.50-3.62
Tm: 0.0000 0.6240 0.9991  6 Dy 3.47-3.62, 4 Tm 3.48, 2 Y 3.60
Tm: 0.2500 0.3756 0.8330  4 Tm 3.48-3.60, 6 Dy 3.48-3.62, 2 Y 3.48
Tm: 0.2500 0.6244 0.3330  4 Tm 3.48-3.60, 6 Dy 3.48-3.62, 2 Y 3.48
Tm: 0.5000 0.3760 0.4991  6 Dy 3.47-3.62, 4 Tm 3.48, 2 Y 3.60
Tm: 0.7500 0.3756 0.8330  4 Tm 3.48-3.60, 6 Dy 3.48-3.62, 2 Y 3.48
Tm: 0.7500 0.6244 0.3330  4 Tm 3.48-3.60, 6 Dy 3.48-3.62, 2 Y 3.48

Summary:
V: 503.02 Å³ per cell
space group: Pmn2_1, No. 31
DOS(E_F): 13.30 states/eV/f.u.
relative energy among the computed polymorphs: 0 meV per atom
ΔE_f: 2 meV per atom

## Y3TlO (PBE-GGA)

Data for a relaxed Y3TlO crystal.

Unit cell a=5.3719 b=5.3719 c=9.3704 alpha=90.00 beta=90.00 gamma=120.00
With the nearest neighbours (Å) after each atom.
Element x y z (fractional)
Y: 0.0000 0.0000 0.2500  2 O 2.34
Y: 0.0000 0.0000 0.7500  2 O 2.34
Y: 0.3333 0.6667 0.0775  1 Tl 3.07, 3 O 3.19, 4 Y 3.23-3.42
Y: 0.3333 0.6667 0.4225  1 Tl 3.07, 3 O 3.19, 4 Y 3.23-3.42
Y: 0.6667 0.3333 0.5775  1 Tl 3.07, 3 O 3.19, 4 Y 3.23-3.42
Y: 0.6667 0.3333 0.9225  1 Tl 3.07, 3 O 3.19, 4 Y 3.23-3.42
Tl: 0.3333 0.6667 0.7500  5 Y 3.07-3.10
Tl: 0.6667 0.3333 0.2500  5 Y 3.07-3.10
O: 0.0000 0.0000 0.0000  2 Y 2.34
O: 0.0000 0.0000 0.5000  2 Y 2.34

Summary:
V: 234.18 Å³ per cell
space group: P6_3/mmc, No. 194
DOS(E_F): 1.81 states/eV/f.u.
energy relative to the elements, uncorrected: -4.4 eV/f.u.

## Zr2Al2Cu (PBE-GGA)

Data for a relaxed Zr2Al2Cu crystal.

Unit cell a=5.4642 b=5.4642 c=9.8140 alpha=115.04 beta=115.04 gamma=44.57
With the nearest neighbours (Å) after each atom.
Element x y z (fractional)
Zr: 0.0025 0.0025 0.1780  6 Al 2.81-3.06, 3 Cu 2.90-3.00
Zr: 0.1813 0.1813 0.5979  6 Al 2.87-3.01, 2 Cu 3.06
Zr: 0.8187 0.8187 0.4021  6 Al 2.87-3.01, 2 Cu 3.06
Zr: 0.9975 0.9975 0.8220  6 Al 2.81-3.06, 3 Cu 2.90-3.00
Al: 0.3515 0.3515 0.9388  3 Cu 2.41-2.56, 1 Al 2.68
Al: 0.4759 0.4759 0.6191  1 Cu 2.44, 1 Al 2.60
Al: 0.5241 0.5241 0.3809  1 Cu 2.44, 1 Al 2.60
Al: 0.6485 0.6485 0.0612  3 Cu 2.41-2.56, 1 Al 2.68
Cu: 0.2798 0.2798 0.1570  4 Al 2.41-2.56
Cu: 0.7202 0.7202 0.8430  4 Al 2.41-2.56

Summary:
V: 182.87 Å³ per cell
space group: C2/m, No. 12
DOS(E_F): 2.90 states/eV/f.u.
relative energy among the computed polymorphs: 0 meV per atom
ΔE_f: -416 meV per atom

## LaInTc2 (PBE-GGA)

Data for a relaxed LaInTc2 crystal.

Unit cell a=8.4912 b=8.4912 c=8.4912 alpha=22.57 beta=22.57 gamma=22.57
With the nearest neighbours (Å) after each atom.
Element x y z (fractional)
La: 0.0000 0.0000 0.0000  6 Tc 2.81
In: 0.5000 0.5000 0.5000  6 Tc 2.84
Tc: 0.2508 0.2508 0.2508  3 La 2.81, 3 In 2.84
Tc: 0.7492 0.7492 0.7492  3 La 2.81, 3 In 2.84

Summary:
V: 79.14 Å³ per cell
space group: R-3m, No. 166
DOS(E_F): 5.30 states/eV/f.u.
ΔE_f: 609 meV per atom

## Pr4TlHg2Au (PBE-GGA)

Data for a relaxed Pr4TlHg2Au crystal.

Unit cell a=9.4299 b=9.4299 c=9.4299 alpha=33.58 beta=33.58 gamma=33.58
With the nearest neighbours (Å) after each atom.
Element x y z (fractional)
Pr: 0.1190 0.1190 0.1190  1 Au 3.17, 4 Hg 3.24-3.34, 3 Tl 3.39
Pr: 0.3699 0.3699 0.3699  3 Au 3.29, 4 Hg 3.35-3.44, 1 Tl 3.47
Pr: 0.6301 0.6301 0.6301  3 Au 3.29, 4 Hg 3.35-3.44, 1 Tl 3.47
Pr: 0.8810 0.8810 0.8810  1 Au 3.17, 4 Hg 3.24-3.34, 3 Tl 3.39
Tl: 0.5000 0.5000 0.5000  8 Pr 3.39-3.47, 6 Hg 3.77
Hg: 0.2443 0.2443 0.2443  8 Pr 3.24-3.44
Hg: 0.7557 0.7557 0.7557  8 Pr 3.24-3.44
Au: 0.0000 0.0000 0.0000  8 Pr 3.17-3.29

Summary:
V: 228.48 Å³ per cell
space group: R-3m, No. 166
DOS(E_F): 9.05 states/eV/f.u.
ΔE_f: -512 meV per atom

## Ga2Mo4C (PBE-GGA)

Data for a relaxed Ga2Mo4C crystal.

Unit cell a=5.2218 b=3.0405 c=7.2233 alpha=90.00 beta=110.94 gamma=90.00
With the nearest neighbours (Å) after each atom.
Element x y z (fractional)
Ga: 0.1766 0.0000 0.3570  4 Mo 2.70-2.72
Ga: 0.8234 0.0000 0.6430  4 Mo 2.70-2.72
Mo: 0.2325 0.0000 0.0001  2 C 2.06
Mo: 0.3481 0.5000 0.6915  1 C 2.08
Mo: 0.6519 0.5000 0.3085  1 C 2.08
Mo: 0.7675 0.0000 0.9999  2 C 2.06
C: 0.5000 0.5000 0.0000  6 Mo 2.06-2.08

Summary:
V: 107.11 Å³ per cell
space group: P2/m, No. 10
DOS(E_F): 4.52 states/eV/f.u.
relative energy among the computed polymorphs: 0 meV per atom
ΔE_f: 113 meV per atom

## Zr3BiH (PBE-GGA)

Data for a relaxed Zr3BiH crystal.

Unit cell a=5.9891 b=5.9891 c=11.1533 alpha=103.24 beta=103.24 gamma=31.70
With the nearest neighbours (Å) after each atom.
Element x y z (fractional)
Zr: 0.0344 0.0344 0.3718  2 H 2.08
Zr: 0.3047 0.3047 0.4011  1 H 2.15
Zr: 0.3813 0.3813 0.1009  1 H 2.06
Zr: 0.6187 0.6187 0.8991  1 H 2.06
Zr: 0.6953 0.6953 0.5989  1 H 2.15
Zr: 0.9656 0.9656 0.6282  2 H 2.08
Bi: 0.1278 0.1278 0.1391  7 Zr 3.04-3.22, 2 Bi 3.27
Bi: 0.8722 0.8722 0.8609  7 Zr 3.04-3.22, 2 Bi 3.27
H: 0.4337 0.4337 0.2905  4 Zr 2.06-2.15
H: 0.5663 0.5663 0.7095  4 Zr 2.06-2.15

Summary:
V: 204.19 Å³ per cell
space group: C2/m, No. 12
DOS(E_F): 3.46 states/eV/f.u.
relative energy among the computed polymorphs: 149 meV per atom

## SrTlCuAgRh (PBE-GGA)

Data for a relaxed SrTlCuAgRh crystal.

Unit cell a=5.6508 b=5.6508 c=7.6976 alpha=130.17 beta=130.17 gamma=34.68
With the nearest neighbours (Å) after each atom.
Element x y z (fractional)
Sr: 0.0000 0.0000 0.0000  1 Cu 2.92, 3 Ag 3.14-3.15, 1 Tl 3.19, 2 Rh 3.20
Tl: 0.3679 0.3679 0.5139  2 Cu 2.81, 3 Rh 2.92-3.07, 2 Ag 3.02
Cu: 0.8519 0.8519 0.2072  2 Rh 2.70, 2 Tl 2.81, 2 Ag 2.81, 1 Sr 2.92
Ag: 0.1837 0.1837 0.8124  2 Cu 2.81, 2 Rh 2.94, 2 Tl 3.02, 3 Sr 3.14-3.15
Rh: 0.6162 0.6162 0.4430  2 Cu 2.70, 2 Tl 2.92, 2 Ag 2.94

Summary:
V: 103.09 Å³ per cell
space group: Cm, No. 8
DOS(E_F): 1.99 states/eV/f.u.
relative energy among the computed polymorphs: 148 meV per atom
ΔE_f: 44 meV per atom

## Nb2InS (PBE-GGA)

Data for a relaxed Nb2InS crystal.

Unit cell a=8.7264 b=8.7264 c=8.7264 alpha=20.67 beta=20.67 gamma=20.67
With the nearest neighbours (Å) after each atom.
Element x y z (fractional)
Nb: 0.2379 0.2379 0.2379  3 S 2.57
Nb: 0.7621 0.7621 0.7621  3 S 2.57
In: 0.0000 0.0000 0.0000  6 Nb 3.04, 6 In 3.13
S: 0.5000 0.5000 0.5000  6 Nb 2.57

Summary:
V: 72.49 Å³ per cell
space group: R-3m, No. 166
DOS(E_F): 2.36 states/eV/f.u.
relative energy among the computed polymorphs: 0 meV per atom
energy relative to the elements, uncorrected: -1.1 eV/f.u.

## SrMoSe2 (PBE-GGA)

Data for a relaxed SrMoSe2 crystal.

Unit cell a=3.3822 b=3.3822 c=7.2105 alpha=90.00 beta=90.00 gamma=90.00
With the nearest neighbours (Å) after each atom.
Element x y z (fractional)
Sr: 0.0000 0.0000 0.0000  8 Se 3.19, 4 Sr 3.38
Mo: 0.0000 0.0000 0.5000  8 Se 2.82
Se: 0.5000 0.5000 0.2922  4 Mo 2.82, 1 Se 3.00
Se: 0.5000 0.5000 0.7078  4 Mo 2.82, 1 Se 3.00

Summary:
V: 82.48 Å³ per cell
space group: P4/mmm, No. 123
DOS(E_F): 3.16 states/eV/f.u.
relative energy among the computed polymorphs: 342 meV per atom
energy relative to the elements, uncorrected: -1.8 eV/f.u.

## ScRhCl (PBE-GGA)

Data for a relaxed ScRhCl crystal.

Unit cell a=4.3830 b=4.3830 c=4.3830 alpha=60.00 beta=60.00 gamma=60.00
With the nearest neighbours (Å) after each atom.
Element x y z (fractional)
Sc: 0.0000 0.0000 0.0000  4 Cl 2.68, 4 Rh 2.68
Rh: 0.7500 0.7500 0.7500  4 Sc 2.68
Cl: 0.2500 0.2500 0.2500  4 Sc 2.68

Summary:
V: 59.54 Å³ per cell
space group: F-43m, No. 216
DOS(E_F): 1.81 states/eV/f.u.
relative energy among the computed polymorphs: 584 meV per atom
energy relative to the elements, uncorrected: -1.1 eV/f.u.